VASP calculation (PBE-GGA) on a relaxed KRePCl2 crystal.

Calculated values
E_form (uncorrected) = 1.41 eV per atom
energy relative to the lowest polymorph listed for this composition = 1729 meV/atom

Structure (CIF):
```
data_KRePCl2
_chemical_formula_sum 'K1 Re1 P1 Cl2'
_cell_length_a 5.9079
_cell_length_b 5.9079
_cell_length_c 5.9065
_cell_angle_alpha 90.00
_cell_angle_beta 90.00
_cell_angle_gamma 90.00
_space_group_name_H-M_alt 'P 4/m m m'
_space_group_IT_number 123
_space_group_name_Hall '-P 4 2'
loop_
_atom_site_label
_atom_site_type_symbol
_atom_site_fract_x
_atom_site_fract_y
_atom_site_fract_z
_atom_site_occupancy
K1 K 0.0000 0.0000 0.0000 1
Re1 Re 0.5000 0.5000 0.5000 1
P1 P 0.0000 0.0000 0.5000 1
Cl1 Cl 0.0000 0.5000 0.0000 1
```